Below is Dy6Cd2Os after structural relaxation, with properties calculated at the GGA-PBE level. Values from VASP.

Calculated values
The calculation puts the calculated formation energy at -0.15 eV per atom. The value obtained for the magnetic moment is 0.00 Bohr magnetons per cell.

The structure in Quantum ESPRESSO input format:
```
&SYSTEM
  ibrav = 0, nat = 18, ntyp = 3
/
ATOMIC_SPECIES
Dy 162.50 Dy.upf
Cd 112.41 Cd.upf
Os 190.23 Os.upf
CELL_PARAMETERS angstrom
6.027 0.000 0.517
0.000 8.716 0.000
-0.021 0.000 9.677
ATOMIC_POSITIONS crystal
Dy 0.398 0.530 0.736
Dy 0.601 0.169 0.555
Dy 0.600 0.187 0.956
Dy 0.101 0.331 0.055
Dy 0.900 0.687 0.544
Cd 0.898 0.384 0.754
Dy 0.400 0.813 0.044
Cd 0.602 0.884 0.746
Dy 0.102 0.030 0.764
Dy 0.602 0.470 0.264
Dy 0.100 0.313 0.456
Os 0.500 0.500 0.000
Dy 0.898 0.970 0.236
Os 0.000 0.000 0.500
Dy 0.899 0.669 0.945
Cd 0.102 0.616 0.246
Cd 0.398 0.116 0.254
Dy 0.399 0.831 0.445
```